Material: Pm4Sm9Tl11
Method: DFT, PBE-GGA
State: relaxed

Values from the calculation:
calculated formation energy: -0.307 eV per atom

Unit cell a=3.6411 b=14.3198 c=14.3198 alpha=109.76 beta=90.00 gamma=90.00
Element x y z (fractional)
Pm1 0.5000 0.5855 0.7496
Pm2 0.5000 0.4145 0.2504
Pm3 0.5000 0.7496 0.5855
Pm4 0.5000 0.2504 0.4145
Sm1 0.5000 0.6130 0.1587
Sm2 0.5000 0.8413 0.3870
Sm3 0.5000 0.1587 0.6130
Sm4 0.5000 0.9839 0.7964
Sm5 0.5000 0.7964 0.9839
Sm6 0.5000 0.3870 0.8413
Sm7 0.5000 0.5000 0.5000
Sm8 0.5000 0.2036 0.0161
Sm9 0.5000 0.0161 0.2036
Tl1 0.0000 0.3768 0.6232
Tl2 0.0000 0.2113 0.2113
Tl3 0.0000 0.1865 0.8135
Tl4 0.0000 0.9520 0.5902
Tl5 0.0000 0.8135 0.1865
Tl6 0.0000 0.7887 0.7887
Tl7 0.0000 0.0480 0.4098
Tl8 0.0000 0.0000 0.0000
Tl9 0.0000 0.5902 0.9520
Tl10 0.0000 0.6232 0.3768
Tl11 0.0000 0.4098 0.0480

Material: Sm2MgRe
Method: DFT, PBE-GGA
State: relaxed

Values from the calculation:
calculated formation energy: 0.132 eV per atom

Unit cell a=3.5151 b=3.5151 c=8.3388 alpha=90.00 beta=90.00 gamma=90.00
Element x y z (fractional)
Sm1 0.0000 0.0000 0.2025
Sm2 0.0000 0.0000 0.7975
Re1 0.5000 0.5000 0.0000
Mg1 0.5000 0.5000 0.5000

Material: Rb3Cd2AgBr9
Method: DFT, PBE-GGA
State: relaxed

Values from the calculation:
energy: -2.57 eV per atom

Unit cell a=7.8219 b=7.8219 c=9.6213 alpha=90.00 beta=90.00 gamma=120.00
Element x y z (fractional)
Rb1 0.3333 0.6667 0.6638
Rb2 0.6667 0.3333 0.3362
Rb3 0.0000 0.0000 0.0000
Br1 0.1664 0.8336 0.3351
Br2 0.8336 0.1664 0.6649
Br3 0.1664 0.3328 0.3351
Br4 0.6672 0.8336 0.3351
Br5 0.5000 0.5000 0.0000
Br6 0.0000 0.5000 0.0000
Br7 0.5000 0.0000 0.0000
Br8 0.8336 0.6672 0.6649
Br9 0.3328 0.1664 0.6649
Cd1 0.6667 0.3333 0.8301
Cd2 0.3333 0.6667 0.1699
Ag1 0.0000 0.0000 0.5000

It is found that the V values, taken in the order of the records, are 29.277; 25.759; 33.986 Å³ per atom.